## P
The following is a PBE-GGA calculation of Pr3SmN3 after structural relaxation, from Alexandria.

Calculated values
**Symmetry**: No. 12
**Crystal system**: monoclinic
**Total moment**: 0.000 μB per atom

Cell lengths 8.244, 6.807, 6.807 Å; angles 113.14, 97.89, 97.89 degrees
Fractional coordinates of all 14 atoms:
N 0.806 0.997 0.997
Pr 0.500 0.213 0.787
Pr 0.000 0.159 0.841
Sm 0.212 0.693 0.693
N 0.586 0.197 0.459
Pr 0.000 0.841 0.159
N 0.414 0.541 0.803
Pr 0.640 0.686 0.686
Pr 0.360 0.314 0.314
Sm 0.788 0.307 0.307
N 0.194 0.003 0.003
Pr 0.500 0.787 0.213
N 0.586 0.459 0.197
N 0.414 0.803 0.541



## Q
The following is a PBE-GGA calculation of Pr3SmN3 after structural relaxation, from Alexandria.

Calculated values
**Symmetry**: No. 194
**Crystal system**: hexagonal
**Total moment**: 0.000 μB per atom

Cell lengths 5.353, 8.333, 8.333 Å; angles 119.99, 90.00, 90.00 degrees
Fractional coordinates of all 14 atoms:
Sm 0.750 0.333 0.667
N 0.750 0.664 0.832
N 0.750 0.168 0.336
N 0.750 0.168 0.833
Pr 0.250 0.165 0.835
N 0.250 0.832 0.664
Pr 0.250 0.669 0.834
Sm 0.250 0.667 0.333
N 0.250 0.832 0.167
Pr 0.750 0.331 0.166
Pr 0.750 0.835 0.669
Pr 0.250 0.165 0.331
Pr 0.750 0.835 0.165
N 0.250 0.336 0.168



If you had to name the least stable structure above, which would it be? It would be P.